1.
CsGdSeO: optimized geometry, PBE-GGA.

The total magnetization comes out at 0.001 μB/atom. The calculation puts the theoretical density at 6.39 g/cm³. Its total energy is -22.02 eV per formula unit. As for the energy above the most stable polymorph in this dataset: 164 meV per atom.

It has space group P-3m1 (No. 164), with a = 3.8707 Å, b = 3.8707 Å, c = 15.4181 Å, α = 90.00°, β = 90.00° and γ = 120.00°. The distinct sites, in fractional coordinates, are Cs at (0.3333, 0.6667, 0.2850), Gd at (0.0000, 0.0000, 0.0000), Gd at (0.0000, 0.0000, 0.5000), Se at (0.3333, 0.6667, 0.8878) and O at (0.3333, 0.6667, 0.5682).


2.
Cs2Gd2SeO3: optimized geometry, PBE-GGA.

The total magnetization comes out at 0.001 μB/atom. The calculation puts the theoretical density at 6.79 g/cm³. Its total energy is -47.66 eV per formula unit.

It has space group P3m1 (No. 156), with a = 3.7042 Å, b = 3.7042 Å, c = 14.5595 Å, α = 90.00°, β = 90.00° and γ = 120.00°. The distinct sites, in fractional coordinates, are Cs at (0.0000, 0.0000, 0.0000), Cs at (0.3333, 0.6667, 0.4617), Gd at (0.6667, 0.3333, 0.2282), Gd at (0.6667, 0.3333, 0.7659), Se at (0.0000, 0.0000, 0.6392), O at (0.0000, 0.0000, 0.2997), O at (0.3333, 0.6667, 0.1481) and O at (0.3333, 0.6667, 0.8358).